1.
Material: Rb2CePuO4
Method: DFT, PBE
State: optimized geometry

For the energy relative to the elements, uncorrected, the calculation gives -2441 meV/atom.

It has space group P2/m (No. 10), with a = 6.295 Å, b = 3.634 Å, c = 6.905 Å, α = 90.00°, β = 107.70° and γ = 90.00°. The inequivalent atoms are Rb at (0.000, 0.000, 0.000), Rb at (0.500, 0.500, 0.000), Ce at (0.000, 0.500, 0.500), Pu at (0.500, 0.000, 0.500), O at (0.225, 0.000, 0.678) and O at (0.275, 0.500, 0.324).

***

2.
Material: Ca2HfInO6
Method: DFT, PBE
State: optimized geometry

For the energy relative to the elements, uncorrected, the calculation gives -2590 meV/atom.

It has space group P2_1/c (No. 14), with a = 5.656 Å, b = 5.853 Å, c = 9.780 Å, α = 90.00°, β = 124.66° and γ = 90.00°. The inequivalent atoms are Ca at (0.228, 0.055, 0.246), Hf at (0.500, 0.000, 0.000), In at (0.000, 0.000, 0.500), O at (0.148, 0.197, 0.942), O at (0.240, 0.711, 0.933) and O at (0.375, 0.049, 0.757).

***

3.
Material: HfAs2AuBr
Method: DFT, PBE
State: optimized geometry

For the energy relative to the elements, uncorrected, the calculation gives 775 meV/atom. For the energy above the lowest structure with this stoichiometry, the calculation gives 543 meV/atom.

It has space group P4/mmm (No. 123), with a = 5.017 Å, b = 5.017 Å, c = 5.014 Å, α = 90.00°, β = 90.00° and γ = 90.00°. The inequivalent atoms are Hf at (0.000, 0.000, 0.000), As at (0.000, 0.500, 0.500), Au at (0.500, 0.500, 0.500) and Br at (0.500, 0.500, 0.000).

***

4.
Material: MgIn5Ga4
Method: DFT, PBE
State: optimized geometry

Its energy of formation from the pure elements is 41 meV per atom.

It has space group P4/mmm (No. 123), with a = 3.826 Å, b = 3.826 Å, c = 15.947 Å, α = 90.00°, β = 90.00° and γ = 90.00°. The inequivalent atoms are Mg at (0.000, 0.000, 0.000), In at (0.500, 0.500, 0.102), In at (0.500, 0.500, 0.298), In at (0.500, 0.500, 0.500), Ga at (0.000, 0.000, 0.199) and Ga at (0.000, 0.000, 0.396).